The following is a DFT calculation (PBE) of crystalline BIrNO2 at its relaxed geometry.

Output
- Calculated volume: 7.90 A^3/atom
- SG: P4/mmm (123)
- D(E_F): 2.32 states/eV per cell
- Final energy: -30.75 eV per cell

a b c (Å): 3.3446 3.3446 3.5322
angles (deg): 90.00 90.00 90.00
With the nearest neighbours (Å) after each atom.
Sites, in units of the cell vectors:
B (0.0000, 0.0000, 0.0000)  4 O 1.67, 2 N 1.77
Ir (0.5000, 0.5000, 0.5000)  4 N 2.37, 8 O 2.43
O (0.0000, 0.5000, 0.0000)  2 B 1.67
O (0.5000, 0.0000, 0.0000)  2 B 1.67
N (0.0000, 0.0000, 0.5000)  2 B 1.77